# PBE+U Cs4Nd3CrO8, relaxed
data_Cs4Nd3CrO8
_chemical_formula_sum 'Cs12 Nd9 Cr3 O24'
_space_group_name_H-M_alt 'R -3 m'
_space_group_IT_number 166
_space_group_name_Hall '-R 3 2"'
_cell_length_a 7.1941
_cell_length_b 7.1941
_cell_length_c 20.6598
_cell_angle_alpha 90.00
_cell_angle_beta 90.00
_cell_angle_gamma 120.00
loop_
_atom_site_label
_atom_site_type_symbol
_atom_site_fract_x
_atom_site_fract_y
_atom_site_fract_z
Cs1 Cs 0.0000 0.0000 0.0000
Cs2 Cs 0.0000 0.5000 0.0000
Nd1 Nd 0.0000 0.5000 0.5000
Cr1 Cr 0.0000 0.0000 0.5000
O1 O 0.0000 0.0000 0.2238
O2 O 0.0256 0.5128 0.2212
# - calculated density (g/cm³) = 6.16
# - raw total energy (eV per cell) = -299.7
# - crystal system = trigonal